Entry 1:
First-principles (PBE) data for a relaxed structure of BaSrLa2Au, as listed in Alexandria via LeMat-Bulk.

abc: 5.980 5.980 6.245
angles: 90.00 90.00 90.00
Fractional coordinates of all 5 atoms:
Sr1 0.000 0.000 0.500
Au1 0.000 0.000 0.000
Ba1 0.500 0.500 0.500
La1 0.000 0.500 0.000
La2 0.500 0.000 0.000


Entry 2:
First-principles (PBE) data for a relaxed structure of Ba2SrLa2Au5, as listed in Alexandria via LeMat-Bulk.

abc: 4.010 12.469 12.469
angles: 90.00 90.00 90.00
Fractional coordinates of all 20 atoms:
Ba1 0.000 0.672 0.172
Ba2 0.000 0.328 0.828
Ba3 0.000 0.172 0.328
Ba4 0.000 0.828 0.672
Sr1 0.000 0.000 0.000
Sr2 0.000 0.500 0.500
La1 0.000 0.129 0.629
La2 0.000 0.871 0.371
La3 0.000 0.629 0.871
La4 0.000 0.371 0.129
Au1 0.500 0.187 0.090
Au2 0.500 0.813 0.910
Au3 0.500 0.090 0.813
Au4 0.500 0.687 0.410
Au5 0.500 0.910 0.187
Au6 0.500 0.313 0.590
Au7 0.500 0.590 0.687
Au8 0.500 0.410 0.313
Au9 0.500 0.500 0.000
Au10 0.500 0.000 0.500


Entry 3:
First-principles (PBE) data for a relaxed structure of BaLaTlAu2, as listed in Alexandria via LeMat-Bulk.

abc: 5.562 6.645 5.562
angles: 90.00 90.00 90.00
Fractional coordinates of all 5 atoms:
Tl1 0.500 0.500 0.500
Au1 0.000 0.000 0.500
Au2 0.500 0.000 0.000
Ba1 0.000 0.500 0.000
La1 0.000 0.000 0.000


Entry 4:
First-principles (PBE) data for a relaxed structure of BaLiAu2, as listed in Alexandria via LeMat-Bulk.

Calculated values
offset from the most stable computed form = 164 meV/atom

abc: 5.369 5.369 5.369
angles: 60.00 60.00 60.00
Fractional coordinates of all 4 atoms:
Au1 0.250 0.250 0.250
Au2 0.750 0.750 0.750
Ba1 0.500 0.500 0.500
Li1 0.000 0.000 0.000


Entry 5:
First-principles (PBE) data for a relaxed structure of BaLi2Au, as listed in Alexandria via LeMat-Bulk.

Calculated values
offset from the most stable computed form = 0 meV/atom

abc: 4.679 4.679 6.409
angles: 68.63 68.63 60.01
Fractional coordinates of all 4 atoms:
Au1 0.558 0.558 0.325
Ba1 0.755 0.755 0.735
Li1 0.944 0.944 0.168
Li2 0.243 0.243 0.271


Entry 6:
First-principles (PBE) data for a relaxed structure of BaLiAu3, as listed in Alexandria via LeMat-Bulk.

Calculated values
offset from the most stable computed form = 77 meV/atom

abc: 4.963 4.963 4.963
angles: 90.00 90.00 90.00
Fractional coordinates of all 5 atoms:
Au1 0.000 0.500 0.000
Au2 0.000 0.000 0.500
Au3 0.500 0.000 0.000
Ba1 0.500 0.500 0.500
Li1 0.000 0.000 0.000


Entry 7:
First-principles (PBE) data for a relaxed structure of Ba12Li3Au5, as listed in Alexandria via LeMat-Bulk.

abc: 17.652 17.652 17.652
angles: 109.47 109.47 109.47
Fractional coordinates of all 80 atoms:
Li1 0.750 0.375 0.125
Li2 0.875 0.750 0.125
Li3 0.375 0.750 0.625
Li4 0.250 0.125 0.375
Li5 0.875 0.125 0.250
Li6 0.375 0.625 0.250
Li7 0.625 0.375 0.750
Li8 0.125 0.875 0.750
Li9 0.750 0.875 0.625
Li10 0.625 0.250 0.375
Li11 0.125 0.250 0.875
Li12 0.250 0.625 0.875
Au1 0.125 0.375 0.250
Au2 0.000 0.500 0.000
Au3 0.000 0.000 0.000
Au4 0.375 0.250 0.125
Au5 0.500 0.000 0.500
Au6 0.500 0.500 0.000
Au7 0.125 0.750 0.375
Au8 0.750 0.125 0.875
Au9 0.750 0.625 0.375
Au10 0.375 0.125 0.750
Au11 0.625 0.875 0.250
Au12 0.500 0.500 0.500
Au13 0.500 0.000 0.000
Au14 0.000 0.000 0.500
Au15 0.250 0.375 0.625
Au16 0.250 0.875 0.125
Au17 0.000 0.500 0.500
Au18 0.875 0.250 0.625
Au19 0.625 0.750 0.875
Au20 0.875 0.625 0.750
Ba1 0.709 0.118 0.033
Ba2 0.324 0.533 0.414
Ba3 0.967 0.382 0.291
Ba4 0.533 0.209 0.118
Ba5 0.591 0.709 0.676
Ba6 0.967 0.586 0.176
Ba7 0.324 0.791 0.409
Ba8 0.086 0.909 0.118
Ba9 0.586 0.967 0.676
Ba10 0.709 0.591 0.176
Ba11 0.791 0.467 0.382
Ba12 0.824 0.914 0.033
Ba13 0.118 0.709 0.533
Ba14 0.382 0.414 0.091
Ba15 0.091 0.914 0.382
Ba16 0.409 0.118 0.586
Ba17 0.091 0.176 0.209
Ba18 0.467 0.676 0.086
Ba19 0.824 0.909 0.291
Ba20 0.118 0.409 0.086
Ba21 0.382 0.967 0.791
Ba22 0.586 0.618 0.409
Ba23 0.914 0.824 0.533
Ba24 0.791 0.324 0.909
Ba25 0.414 0.382 0.591
Ba26 0.086 0.176 0.467
Ba27 0.209 0.676 0.091
Ba28 0.176 0.091 0.709
Ba29 0.618 0.033 0.209
Ba30 0.882 0.591 0.914
Ba31 0.533 0.324 0.914
Ba32 0.591 0.882 0.414
Ba33 0.909 0.824 0.791
Ba34 0.909 0.086 0.618
Ba35 0.882 0.291 0.467
Ba36 0.176 0.086 0.967
Ba37 0.618 0.586 0.909
Ba38 0.414 0.033 0.324
Ba39 0.291 0.409 0.824
Ba40 0.209 0.533 0.618
Ba41 0.914 0.091 0.882
Ba42 0.676 0.209 0.591
Ba43 0.467 0.791 0.882
Ba44 0.033 0.414 0.824
Ba45 0.409 0.291 0.324
Ba46 0.033 0.618 0.709
Ba47 0.676 0.467 0.586
Ba48 0.291 0.882 0.967


Entry 8:
First-principles (PBE) data for a relaxed structure of BaLiAu, as listed in Alexandria via LeMat-Bulk.

Calculated values
offset from the most stable computed form = 4 meV/atom

abc: 4.713 4.713 4.606
angles: 90.00 90.00 120.00
Fractional coordinates of all 3 atoms:
Au1 0.000 0.000 0.833
Ba1 0.667 0.333 0.333
Li1 0.333 0.667 0.833


Entry 9:
First-principles (PBE) data for a relaxed structure of Ba12LiAu5, as listed in Alexandria via LeMat-Bulk.

abc: 10.137 10.137 10.137
angles: 105.20 114.12 109.22
Fractional coordinates of all 18 atoms:
Ba1 0.538 0.826 0.712
Ba2 0.462 0.174 0.288
Ba3 0.886 0.174 0.712
Ba4 0.114 0.826 0.288
Ba5 0.687 0.668 0.355
Ba6 0.313 0.332 0.645
Ba7 0.313 0.668 0.981
Ba8 0.687 0.332 0.019
Ba9 0.816 0.599 0.782
Ba10 0.184 0.401 0.218
Ba11 0.184 0.966 0.782
Ba12 0.816 0.034 0.218
Li1 0.000 0.500 0.500
Au1 0.653 0.653 0.000
Au2 0.347 0.347 0.000
Au3 0.500 0.123 0.623
Au4 0.500 0.877 0.377
Au5 0.000 0.000 0.000


Entry 10:
First-principles (PBE) data for a relaxed structure of Ba6LiAu2, as listed in Alexandria via LeMat-Bulk.

abc: 10.185 10.185 10.185
angles: 104.46 109.74 114.37
Fractional coordinates of all 18 atoms:
Ba1 0.536 0.712 0.824
Ba2 0.464 0.288 0.176
Ba3 0.112 0.288 0.824
Ba4 0.888 0.712 0.176
Ba5 0.804 0.762 0.566
Ba6 0.196 0.238 0.434
Ba7 0.196 0.762 0.959
Ba8 0.804 0.238 0.041
Ba9 0.686 0.352 0.666
Ba10 0.314 0.648 0.334
Ba11 0.314 0.981 0.666
Ba12 0.686 0.019 0.334
Li1 0.000 0.500 0.500
Li2 0.000 0.000 0.000
Au1 0.500 0.375 0.875
Au2 0.500 0.625 0.125
Au3 0.676 0.000 0.676
Au4 0.324 0.000 0.324


Entry 11:
First-principles (PBE) data for a relaxed structure of BaLiAu, as listed in Alexandria via LeMat-Bulk.

Calculated values
offset from the most stable computed form = 148 meV/atom

abc: 5.295 5.295 5.295
angles: 60.00 60.00 60.00
Fractional coordinates of all 3 atoms:
Au1 0.750 0.750 0.750
Ba1 0.000 0.000 0.000
Li1 0.500 0.500 0.500


Entry 12:
First-principles (PBE) data for a relaxed structure of BaLi3Au, as listed in Alexandria via LeMat-Bulk.

Calculated values
offset from the most stable computed form = 1370 meV/atom

abc: 5.144 5.144 5.144
angles: 90.00 90.00 90.00
Fractional coordinates of all 5 atoms:
Au1 0.500 0.500 0.500
Ba1 0.000 0.000 0.000
Li1 0.000 0.500 0.000
Li2 0.000 0.000 0.500
Li3 0.500 0.000 0.000


For reference, DFT formation energy by record: -0.178; -0.627; 0.237; -0.490; -0.398; -0.486; -0.207; -0.521; -0.405; -0.331; -0.376; 1.078 eV/atom.